VASP calculation (PBE) on a relaxed MoPt crystal.

Summary:
* DFT formation energy: -159 meV per atom
* space-group type: Pmmn, No. 59
* DOS at the Fermi energy: 4.04 states/eV per cell

```
MoPt
1.0
-1.3879 -1.7595 1.5583
3.8553 -1.0446 2.2543
-0.9318 3.6402 3.2803
Pt Mo
2 2
direct
0.5000 0.0000 0.5155
0.0000 0.5000 0.3178
0.5000 0.5000 0.8126
0.0000 0.0000 0.0207
```